1.
DFT (GGA-PBE) results for a geometry-optimized TaAl2MoBr structure.

## Properties
- uncorrected formation energy (meV per atom) = 821

a b c (Å): 4.9956 4.8054 4.9956
angles (deg): 90.00 90.00 90.00
Fractional positions:
Mo 0.0000 0.0000 0.0000
Br 0.5000 0.5000 0.5000
Al 0.0000 0.0000 0.5000
Al 0.5000 0.0000 0.0000
Ta 0.0000 0.5000 0.0000

***

2.
DFT (GGA-PBE) results for a geometry-optimized Sr5Tl4Ga structure.

## Properties
- DFT formation energy (eV/f.u.) = -4.13

a b c (Å): 4.0560 4.0560 20.3908
angles (deg): 90.00 90.00 90.00
Fractional positions:
Ga 0.0000 0.0000 0.0000
Sr 0.5000 0.5000 0.7039
Sr 0.5000 0.5000 0.2961
Sr 0.5000 0.5000 0.9081
Sr 0.5000 0.5000 0.0919
Tl 0.0000 0.0000 0.6015
Tl 0.0000 0.0000 0.1939
Tl 0.0000 0.0000 0.8061
Tl 0.0000 0.0000 0.3985
Sr 0.5000 0.5000 0.5000

***

3.
DFT (GGA-PBE) results for a geometry-optimized AlBiRh2 structure.

## Properties
- DFT formation energy (eV/f.u.) = -1.73

a b c (Å): 3.1280 3.1280 6.9642
angles (deg): 90.00 90.00 90.00
Fractional positions:
Bi 0.5000 0.5000 0.5000
Al 0.5000 0.5000 0.0000
Rh 0.0000 0.0000 0.2039
Rh 0.0000 0.0000 0.7961

***

4.
DFT (GGA-PBE) results for a geometry-optimized CsNaMnCl4 structure.

## Properties
- uncorrected formation energy (meV per atom) = -1565

a b c (Å): 6.8875 7.3773 9.3492
angles (deg): 90.00 107.57 90.00
Site moments in Bohr magnetons follow the coordinates.
Fractional positions:
Cs 0.2581 0.2500 0.0630  0.00
Na 0.1765 0.2500 0.5262  0.00
Cl 0.0068 0.4914 0.7051  0.05
Cl 0.3648 0.7500 0.1228  0.06
Cl 0.9932 0.9914 0.2949  0.05
Cl 0.9932 0.5086 0.2949  0.05
Cl 0.5241 0.2500 0.4414  0.05
Mn 0.2301 0.7500 0.3251  4.33
Cl 0.4759 0.7500 0.5586  0.05
Cs 0.7419 0.7500 0.9370  0.00
Na 0.8235 0.7500 0.4738  0.00
Cl 0.0068 0.0086 0.7051  0.05
Cl 0.6352 0.2500 0.8772  0.06
Mn 0.7699 0.2500 0.6749  4.33

***

5.
DFT (GGA-PBE) results for a geometry-optimized Ba2NpSe6 structure.

## Properties
- uncorrected formation energy (meV per atom) = -1248

a b c (Å): 4.9421 8.1755 8.3069
angles (deg): 119.48 92.63 90.00
Site moments in Bohr magnetons follow the coordinates.
Fractional positions:
Se 0.8207 0.0846 0.7137  -0.05
Se 0.5000 0.2205 0.0000  -0.06
Se 0.1793 0.3710 0.2863  -0.05
Ba 0.3123 0.3308 0.6616  -0.01
Se 0.5000 0.7795 0.0000  -0.06
Se 0.1793 0.9154 0.2863  -0.05
Ba 0.6877 0.6692 0.3384  -0.01
Np 0.0000 0.0000 0.0000  3.39
Se 0.8207 0.6290 0.7137  -0.05

***

6.
DFT (GGA-PBE) results for a geometry-optimized Mn5CrB2Mo2 structure.

## Properties
- DFT formation energy (eV/f.u.) = -2.41

a b c (Å): 2.8856 8.6057 8.6057
angles (deg): 90.00 90.00 90.00
Fractional positions:
Mn 0.5000 0.5000 0.0000
Mn 0.5000 0.0000 0.5000
Mn 0.5000 0.0673 0.7882
Mn 0.5000 0.2882 0.5673
B 0.0000 0.8773 0.3773
Mn 0.5000 0.9327 0.2118
Mn 0.5000 0.7118 0.4327
Cr 0.0000 0.5000 0.5000
Cr 0.0000 0.0000 0.0000
Mo 0.0000 0.6763 0.1763
B 0.0000 0.6227 0.8773
Mo 0.0000 0.1763 0.3237
Mo 0.0000 0.8237 0.6763
B 0.0000 0.3773 0.1227
B 0.0000 0.1227 0.6227
Mn 0.5000 0.5673 0.7118
Mn 0.5000 0.2118 0.0673
Mn 0.5000 0.7882 0.9327
Mn 0.5000 0.4327 0.2882
Mo 0.0000 0.3237 0.8237

***

| no. | volume (Å³/f.u.) |
| --- | --- |
| 1 | 120 |
| 2 | 335 |
| 3 | 68 |
| 4 | 226 |
| 5 | 292 |
| 6 | 107 |